Entry 1:
# DySc2Rh9 GGA-PBE optimized geometry
# - E: -7.4866 eV per atom
# - Energy relative to the elements: -0.5342 eV/atom
# - Fermi-level density of states: 13.7 states/eV/cell
data_DySc2Rh9
_chemical_formula_sum 'Dy1 Sc2 Rh9'
_cell_length_a 9.150
_cell_length_b 9.150
_cell_length_c 9.150
_cell_angle_alpha 32.93
_cell_angle_beta 32.93
_cell_angle_gamma 32.93
_space_group_name_H-M_alt 'P 1'
_space_group_IT_number 1
_space_group_name_Hall 'P 1'
loop_
_atom_site_label
_atom_site_fract_x
_atom_site_fract_y
_atom_site_fract_z
Dy1 0.000 0.000 0.000
Sc1 0.140 0.140 0.140
Sc2 0.860 0.860 0.860
Rh1 0.082 0.586 0.586
Rh2 0.333 0.333 0.333
Rh3 0.414 0.414 0.918
Rh4 0.414 0.918 0.414
Rh5 0.500 0.500 0.500
Rh6 0.586 0.082 0.586
Rh7 0.586 0.586 0.082
Rh8 0.667 0.667 0.667
Rh9 0.918 0.414 0.414



Entry 2:
# Dy4ScRh5 GGA-PBE optimized geometry
# - E: -7.0348 eV per atom
# - Energy relative to the elements: -0.8850 eV/atom
# - Fermi-level density of states: 5.6 states/eV/cell
data_Dy4ScRh5
_chemical_formula_sum 'Dy4 Sc1 Rh5'
_cell_length_a 3.346
_cell_length_b 3.346
_cell_length_c 17.356
_cell_angle_alpha 90.00
_cell_angle_beta 90.00
_cell_angle_gamma 90.00
_space_group_name_H-M_alt 'P 1'
_space_group_IT_number 1
_space_group_name_Hall 'P 1'
loop_
_atom_site_label
_atom_site_fract_x
_atom_site_fract_y
_atom_site_fract_z
Dy1 0.000 0.000 0.102
Dy2 0.000 0.000 0.306
Dy3 0.000 0.000 0.694
Dy4 0.000 0.000 0.898
Sc1 0.000 0.000 0.500
Rh1 0.500 0.500 0.000
Rh2 0.500 0.500 0.205
Rh3 0.500 0.500 0.410
Rh4 0.500 0.500 0.590
Rh5 0.500 0.500 0.795



Entry 3:
# Dy4ScRh3 GGA-PBE optimized geometry
# - E: -6.5703 eV per atom
# - Energy relative to the elements: -0.7210 eV/atom
# - Fermi-level density of states: 11.9 states/eV/cell
data_Dy4ScRh3
_chemical_formula_sum 'Dy8 Sc2 Rh6'
_cell_length_a 8.273
_cell_length_b 8.273
_cell_length_c 8.273
_cell_angle_alpha 97.49
_cell_angle_beta 97.49
_cell_angle_gamma 137.68
_space_group_name_H-M_alt 'P 1'
_space_group_IT_number 1
_space_group_name_Hall 'P 1'
loop_
_atom_site_label
_atom_site_fract_x
_atom_site_fract_y
_atom_site_fract_z
Dy1 0.081 0.787 0.868
Dy2 0.213 0.081 0.294
Dy3 0.287 0.581 0.868
Dy4 0.419 0.287 0.706
Dy5 0.581 0.713 0.294
Dy6 0.713 0.419 0.132
Dy7 0.787 0.919 0.706
Dy8 0.919 0.213 0.132
Sc1 0.250 0.750 0.500
Sc2 0.750 0.250 0.500
Rh1 0.149 0.351 0.500
Rh2 0.250 0.250 0.000
Rh3 0.351 0.851 0.201
Rh4 0.649 0.149 0.799
Rh5 0.750 0.750 0.000
Rh6 0.851 0.649 0.500